A plane-wave DFT calculation with PBE was carried out for Er3LuPb2N2 after structural relaxation.

a = 3.4996 Å, b = 3.4996 Å, c = 15.3598 Å
α = 90.00°, β = 90.00°, γ = 120.00°
Positions (direct):
Er 0.6667 0.3333 0.0830
Er 0.0000 0.0000 0.5839
Er 0.6667 0.3333 0.4167
N 0.3333 0.6667 0.5002
N 0.3333 0.6667 0.9970
Lu 0.0000 0.0000 0.9179
Pb 0.0000 0.0000 0.2496
Pb 0.6667 0.3333 0.7518

Output
* energy: -51.2 eV per cell
* theoretical density: 11408 kg/m³
* space group: P3m1 (156)
* magnetization: 0.00 μB/cell